(1)
TaTlN2 (PBE-GGA, optimized geometry); E = -8.25 eV per atom; formation energy without anion corrections = -2.113 eV per formula unit
1.0
5.934 0.000 0.000
0.000 5.934 0.000
2.967 2.967 4.431
Tl Ta N
2 2 4
direct
0.750 0.250 0.500
0.000 0.000 0.000
0.500 0.500 0.000
0.250 0.750 0.500
0.875 0.726 0.750
0.274 0.625 0.250
0.375 0.524 0.750
0.476 0.125 0.250


(2)
BaZn4Pd (PBE-GGA, optimized geometry); E = -2.20 eV per atom; energy of formation from the pure elements = -0.166 eV/atom
1.0
5.494 0.000 0.000
2.747 4.758 0.000
2.747 1.586 4.486
Zn Ba Pd
4 1 1
direct
0.628 0.628 0.628
0.115 0.628 0.628
0.628 0.115 0.628
0.628 0.628 0.115
0.250 0.250 0.250
0.000 0.000 0.000


(3)
NaU2Br8 (PBE-GGA, optimized geometry); E = -4.61 eV per atom; formation energy without anion corrections = -13.378 eV per formula unit
1.0
-2.578 0.843 5.127
-6.551 -6.420 -2.238
7.909 -2.666 4.415
Br U Na
8 2 1
direct
0.749 0.832 0.166
0.251 0.166 0.334
0.257 0.667 0.333
0.749 0.834 0.666
0.251 0.666 0.832
0.251 0.168 0.834
0.743 0.333 0.667
0.749 0.334 0.168
0.766 0.667 0.333
0.234 0.333 0.667
0.000 0.000 0.000